1.
Entry from Alexandria: crystalline ReRuS2N at its relaxed geometry (PBE-GGA).

The structure in POSCAR format:
```
ReRuS2N
1.0
-0.5600 1.3484 -4.5266
0.4348 -4.5242 -1.4015
-3.6709 -0.4518 0.3196
Re S N Ru
1 2 1 1
Direct
0.0000 0.0000 0.0000 Re
0.0000 0.5000 0.0000 S
0.5000 0.0000 0.0000 S
0.0000 0.0000 0.5000 N
0.5000 0.5000 0.5000 Ru
```

Results
For the density, the calculation gives 7225 kg/m3. The total energy comes out at -6.808 eV per atom. The symmetry is No. 123. For the uncorrected formation energy, the calculation gives 0.853 eV/atom.

2.
Entry from Alexandria: crystalline CdAsBr2 at its relaxed geometry (PBE-GGA).

The structure in POSCAR format:
```
CdAsBr2
1.0
7.6770 0.0127 0.0533
6.8333 3.4989 0.0533
1.8077 0.4375 4.9340
As Br Cd
1 2 1
Direct
0.7500 0.7500 0.7500 As
0.1030 0.1030 0.9006 Br
0.3970 0.3970 0.5994 Br
0.2500 0.2500 0.2500 Cd
```

Results
For the density, the calculation gives 4375 kg/m3. The total energy comes out at -2.294 eV per atom. The symmetry is No. 12. For the uncorrected formation energy, the calculation gives -0.067 eV/atom.